# 1
The following is a GGA-PBE calculation of a geometry-optimized K2Li2Ag structure, from Alexandria via LeMat-Bulk.

Lattice parameters (Å, degrees): 7.4300 7.4300 5.9630 90.00 90.00 90.00
Element x y z (fractional)
K1 0.1906 0.3094 0.0000
K2 0.3094 0.8094 0.0000
K3 0.6906 0.1906 0.0000
K4 0.8094 0.6906 0.0000
Li1 0.1510 0.6510 0.5000
Li2 0.3490 0.1510 0.5000
Li3 0.6510 0.8490 0.5000
Li4 0.8490 0.3490 0.5000
Ag1 0.0000 0.0000 0.5000
Ag2 0.5000 0.5000 0.5000

density of states at the Fermi level	0.438	states/eV per atom
crystal system	tetragonal
energy above the most stable polymorph in this dataset	0.000	eV/atom

# 2
The following is a GGA-PBE calculation of a geometry-optimized K2HgBr4 structure, from Alexandria via LeMat-Bulk.

Lattice parameters (Å, degrees): 7.8181 7.8181 8.3310 118.59 118.59 34.48
Element x y z (fractional)
K1 0.1917 0.1917 0.1907
K2 0.8083 0.8083 0.8093
Hg1 0.5000 0.5000 0.5000
Br1 0.1436 0.1436 0.5343
Br2 0.4158 0.4158 0.1352
Br3 0.5842 0.5842 0.8648
Br4 0.8564 0.8564 0.4657

density of states at the Fermi level	0.000	states/eV per atom
crystal system	monoclinic
energy above the most stable polymorph in this dataset	0.047	eV/atom
formation energy without anion corrections	-1.1536	eV per atom

# 3
The following is a GGA-PBE calculation of a geometry-optimized HfCoCuAu structure, from Alexandria via LeMat-Bulk.

Lattice parameters (Å, degrees): 4.4104 4.4104 4.4104 60.00 60.00 60.00
Element x y z (fractional)
Hf1 0.0000 0.0000 0.0000
Co1 0.7500 0.7500 0.7500
Cu1 0.2500 0.2500 0.2500
Au1 0.5000 0.5000 0.5000

density of states at the Fermi level	0.594	states/eV per atom
crystal system	cubic
uncorrected energy	-25.1	eV for the cell shown

# 4
The following is a GGA-PBE calculation of a geometry-optimized Hf2Sc2N3 structure, from Alexandria via LeMat-Bulk.

Lattice parameters (Å, degrees): 5.5780 5.5780 5.5586 100.04 100.04 33.40
Element x y z (fractional)
Hf1 0.1251 0.1251 0.3869
Hf2 0.8749 0.8749 0.6131
Sc1 0.3647 0.3647 0.1305
Sc2 0.6353 0.6353 0.8695
N1 0.2528 0.2528 0.7454
N2 0.5000 0.5000 0.5000
N3 0.7472 0.7472 0.2546

density of states at the Fermi level	0.277	states/eV per atom
crystal system	monoclinic
energy above the most stable polymorph in this dataset	0.000	eV/atom
formation energy without anion corrections	-1.6490	eV per atom

# 5
The following is a GGA-PBE calculation of a geometry-optimized Pr12Ni6Pd structure, from Alexandria via LeMat-Bulk.

Lattice parameters (Å, degrees): 8.6864 8.6864 8.6864 109.47 109.47 109.47
Element x y z (fractional)
Pr1 0.1176 0.8149 0.3027
Pr2 0.1851 0.3027 0.4879
Pr3 0.1851 0.6973 0.8824
Pr4 0.3027 0.1176 0.8149
Pr5 0.3027 0.4879 0.1851
Pr6 0.4879 0.1851 0.3027
Pr7 0.5121 0.8149 0.6973
Pr8 0.6973 0.5121 0.8149
Pr9 0.6973 0.8824 0.1851
Pr10 0.8149 0.3027 0.1176
Pr11 0.8149 0.6973 0.5121
Pr12 0.8824 0.1851 0.6973
Ni1 0.1228 0.6228 0.5000
Ni2 0.3772 0.5000 0.8772
Ni3 0.5000 0.1228 0.6228
Ni4 0.5000 0.8772 0.3772
Ni5 0.6228 0.5000 0.1228
Ni6 0.8772 0.3772 0.5000
Pd1 0.0000 0.0000 0.0000

density of states at the Fermi level	1.020	states/eV per atom
crystal system	cubic
uncorrected energy	-101.9	eV for the cell shown

# 6
The following is a GGA-PBE calculation of a geometry-optimized Ti2Cd2Au structure, from Alexandria via LeMat-Bulk.

Lattice parameters (Å, degrees): 6.7918 6.7918 4.5007 90.00 90.00 90.00
Element x y z (fractional)
Ti1 0.1319 0.3681 0.0000
Ti2 0.3681 0.8681 0.0000
Ti3 0.6319 0.1319 0.0000
Ti4 0.8681 0.6319 0.0000
Cd1 0.1624 0.6624 0.5000
Cd2 0.3376 0.1624 0.5000
Cd3 0.6624 0.8376 0.5000
Cd4 0.8376 0.3376 0.5000
Au1 0.0000 0.0000 0.0000
Au2 0.5000 0.5000 0.0000

density of states at the Fermi level	1.061	states/eV per atom
crystal system	tetragonal
energy above the most stable polymorph in this dataset	0.018	eV/atom

# 7
The following is a GGA-PBE calculation of a geometry-optimized LiLuSnBi structure, from Alexandria via LeMat-Bulk.

Lattice parameters (Å, degrees): 5.2520 5.2520 5.2520 60.00 60.00 60.00
Element x y z (fractional)
Li1 0.0000 0.0000 0.0000
Lu1 0.5000 0.5000 0.5000
Sn1 0.7500 0.7500 0.7500
Bi1 0.2500 0.2500 0.2500

density of states at the Fermi level	0.933	states/eV per atom
crystal system	cubic
uncorrected energy	-15.7	eV for the cell shown

Here are the calculated volume numbers, same order: 329.2 249.5 60.7 93.6 504.5 207.6 102.4 (Å³ per cell).